[1]
A plane-wave DFT calculation with meta-GGA SCAN was carried out for a PBEsol-optimized structure of NaNi2Se2.

Properties
Formation energy without anion corrections (eV per formula unit): -2.4
Symmetry: No. 139

Structure (CIF):
```
data_NaNi2Se2
_chemical_formula_sum 'Na1 Ni2 Se2'
_symmetry_space_group_name_H-M 'P 1'
_symmetry_Int_Tables_number 1
_cell_length_a 3.796
_cell_length_b 3.796
_cell_length_c 6.617
_cell_angle_alpha 106.67
_cell_angle_beta 106.67
_cell_angle_gamma 90.00
loop_
_symmetry_equiv_pos_as_xyz
'x,y,z'
loop_
_atom_site_label
_atom_site_type_symbol
_atom_site_fract_x
_atom_site_fract_y
_atom_site_fract_z
Se1 Se 0.637 0.637 0.273
Se2 Se 0.363 0.363 0.727
Ni1 Ni 0.750 0.250 0.500
Ni2 Ni 0.250 0.750 0.500
Na1 Na 0.000 0.000 0.000
```


[2]
A plane-wave DFT calculation with meta-GGA SCAN was carried out for a PBEsol-optimized structure of NaSr3Ni.

Properties
Excess energy over the best structure of this formula in the dataset (eV/f.u.): 0.05
Symmetry: No. 221

Structure (CIF):
```
data_NaSr3Ni
_chemical_formula_sum 'Na1 Sr3 Ni1'
_symmetry_space_group_name_H-M 'P 1'
_symmetry_Int_Tables_number 1
_cell_length_a 5.811
_cell_length_b 5.811
_cell_length_c 5.811
_cell_angle_alpha 90.00
_cell_angle_beta 90.00
_cell_angle_gamma 90.00
loop_
_symmetry_equiv_pos_as_xyz
'x,y,z'
loop_
_atom_site_label
_atom_site_type_symbol
_atom_site_fract_x
_atom_site_fract_y
_atom_site_fract_z
Ni1 Ni 0.000 0.000 0.000
Sr1 Sr 0.000 0.500 0.000
Sr2 Sr 0.000 0.000 0.500
Sr3 Sr 0.500 0.000 0.000
Na1 Na 0.500 0.500 0.500
```


[3]
A plane-wave DFT calculation with meta-GGA SCAN was carried out for a PBEsol-optimized structure of NaSr3Ni.

Properties
Excess energy over the best structure of this formula in the dataset (eV/f.u.): 0.00
Symmetry: No. 12

Structure (CIF):
```
data_NaSr3Ni
_chemical_formula_sum 'Na2 Sr6 Ni2'
_symmetry_space_group_name_H-M 'P 1'
_symmetry_Int_Tables_number 1
_cell_length_a 4.120
_cell_length_b 7.921
_cell_length_c 12.345
_cell_angle_alpha 95.29
_cell_angle_beta 90.00
_cell_angle_gamma 105.07
loop_
_symmetry_equiv_pos_as_xyz
'x,y,z'
loop_
_atom_site_label
_atom_site_type_symbol
_atom_site_fract_x
_atom_site_fract_y
_atom_site_fract_z
Na1 Na 0.448 0.896 0.115
Na2 Na 0.552 0.104 0.885
Ni1 Ni 0.757 0.514 0.545
Ni2 Ni 0.243 0.486 0.455
Sr1 Sr 0.151 0.301 0.657
Sr2 Sr 0.600 0.201 0.385
Sr3 Sr 0.818 0.636 0.880
Sr4 Sr 0.849 0.699 0.343
Sr5 Sr 0.182 0.364 0.120
Sr6 Sr 0.400 0.799 0.615
```


[4]
A plane-wave DFT calculation with meta-GGA SCAN was carried out for a PBEsol-optimized structure of NaNi2Te2.

Properties
Formation energy without anion corrections (eV per formula unit): -1.7
Symmetry: No. 139

Structure (CIF):
```
data_NaNi2Te2
_chemical_formula_sum 'Na1 Ni2 Te2'
_symmetry_space_group_name_H-M 'P 1'
_symmetry_Int_Tables_number 1
_cell_length_a 3.868
_cell_length_b 3.868
_cell_length_c 7.529
_cell_angle_alpha 104.88
_cell_angle_beta 104.88
_cell_angle_gamma 90.00
loop_
_symmetry_equiv_pos_as_xyz
'x,y,z'
loop_
_atom_site_label
_atom_site_type_symbol
_atom_site_fract_x
_atom_site_fract_y
_atom_site_fract_z
Ni1 Ni 0.250 0.750 0.500
Ni2 Ni 0.750 0.250 0.500
Na1 Na 0.000 0.000 0.000
Te1 Te 0.637 0.637 0.275
Te2 Te 0.363 0.363 0.725
```


no.,total DFT energy (no corrections) (eV/atom)
1,-15.814
2,-17.419
3,-17.429
4,-22.555